First-principles (PBE) data for a geometry-optimized Zn2Tc2O7 structure, as listed in the Alexandria database.

It has space group C2/m (No. 12), with a = 5.157 Å, b = 8.422 Å, c = 7.836 Å, α = 90.00°, β = 91.10° and γ = 90.00°. The inequivalent atoms are Zn at (0.006, 0.000, 0.229), Tc at (0.000, 0.357, 0.500), O at (0.000, 0.000, 0.000), O at (0.143, 0.500, 0.328) and O at (0.180, 0.172, 0.372).

The value obtained for the uncorrected formation energy is -1307 kJ/mol of formula units. Its total energy is -143.07 eV per cell.

First-principles (PBE) data for a geometry-optimized MnIn4 structure, as listed in the Alexandria database.

It has space group Pm-3m (No. 221), with a = 5.133 Å, b = 5.133 Å, c = 5.133 Å, α = 90.00°, β = 90.00° and γ = 90.00°. The inequivalent atoms are Mn at (0.000, 0.000, 0.000), In at (0.000, 0.000, 0.500) and In at (0.500, 0.500, 0.500).

As for the formation energy: 253 meV/atom. Its total energy is -18.86 eV per cell. For the distance to the lowest polymorph of the same formula, the calculation gives 164 meV per atom.

First-principles (PBE) data for a geometry-optimized TiV2Pd structure, as listed in the Alexandria database.

It has space group I-42d (No. 122), with a = 3.585 Å, b = 3.585 Å, c = 19.376 Å, α = 90.00°, β = 90.00° and γ = 90.00°. The inequivalent atoms are Ti at (0.000, 0.000, 0.000), V at (0.242, 0.250, 0.125) and Pd at (0.000, 0.000, 0.500).

As for the formation energy: 231 meV/atom. Its total energy is -121.60 eV per cell. For the distance to the lowest polymorph of the same formula, the calculation gives 340 meV per atom.

First-principles (PBE) data for a geometry-optimized CsRbLi2Au structure, as listed in the Alexandria database.

It has space group P4/mmm (No. 123), with a = 5.589 Å, b = 5.589 Å, c = 6.506 Å, α = 90.00°, β = 90.00° and γ = 90.00°. The inequivalent atoms are Cs at (0.000, 0.000, 0.000), Rb at (0.500, 0.500, 0.000), Li at (0.000, 0.500, 0.500) and Au at (0.500, 0.500, 0.500).

As for the formation energy: -17 meV/atom. Its total energy is -9.01 eV per cell.

First-principles (PBE) data for a geometry-optimized Al2V2Fe structure, as listed in the Alexandria database.

It has space group P4/mbm (No. 127), with a = 6.419 Å, b = 6.419 Å, c = 3.408 Å, α = 90.00°, β = 90.00° and γ = 90.00°. The inequivalent atoms are Al at (0.137, 0.363, 0.000), V at (0.167, 0.667, 0.500) and Fe at (0.000, 0.000, 0.000).

As for the formation energy: 39 meV/atom. Its total energy is -67.98 eV per cell. For the distance to the lowest polymorph of the same formula, the calculation gives 147 meV per atom.

First-principles (PBE) data for a geometry-optimized OsCl structure, as listed in the Alexandria database.

It has space group Pnma (No. 62), with a = 11.376 Å, b = 3.430 Å, c = 5.078 Å, α = 90.00°, β = 90.00° and γ = 90.00°. The inequivalent atoms are Os at (0.008, 0.250, 0.150) and Cl at (0.125, 0.750, 0.476).

The value obtained for the uncorrected formation energy is 132 kJ/mol of formula units. Its total energy is -46.81 eV per cell. For the distance to the lowest polymorph of the same formula, the calculation gives 562 meV per atom.

First-principles (PBE) data for a geometry-optimized Tm3TiIn3Se8 structure, as listed in the Alexandria database.

It has space group R-3m (No. 166, hexagonal axes), with a = 7.9791 Å, b = 7.9791 Å, c = 23.1199 Å, α = 90.00°, β = 90.00° and γ = 120.00°. The inequivalent atoms are Tm at (0.0000, 0.5000, 0.0000), Ti at (0.0000, 0.0000, 0.0000), In at (0.0000, 0.5000, 0.5000), Se at (0.0000, 0.0000, 0.2635) and Se at (0.0230, 0.5115, 0.7331).

The value obtained for the uncorrected formation energy is -1791 kJ/mol of formula units. Its total energy is -227.90 eV per cell.